(1)
# CaSb2TeRh (PBE, optimized geometry)
# uncorrected formation energy	1.056	eV per atom
# crystal system	tetragonal
# DOS(E_F)	1.7348	states/eV/atom
# M_tot	1.2	μB per formula unit
# polymorph energy (0 for the lowest one)	6.36	eV/f.u.
data_CaSb2TeRh
_chemical_formula_sum 'Ca1 Sb2 Te1 Rh1'
_cell_length_a 5.637
_cell_length_b 5.637
_cell_length_c 5.597
_cell_angle_alpha 90.00
_cell_angle_beta 90.00
_cell_angle_gamma 90.00
_space_group_name_H-M_alt 'P 4/m m m'
_space_group_IT_number 123
_space_group_name_Hall '-P 4 2'
loop_
_atom_site_label
_atom_site_type_symbol
_atom_site_fract_x
_atom_site_fract_y
_atom_site_fract_z
Ca1 Ca 0.000 0.000 0.000
Sb1 Sb 0.000 0.500 0.000
Te1 Te 0.000 0.000 0.500
Rh1 Rh 0.500 0.500 0.500



(2)
# CaSbTe2Rh (PBE, optimized geometry)
# uncorrected formation energy	0.908	eV per atom
# crystal system	tetragonal
# DOS(E_F)	1.6965	states/eV/atom
# M_tot	1.3	μB per formula unit
# polymorph energy (0 for the lowest one)	6.09	eV/f.u.
data_CaSbTe2Rh
_chemical_formula_sum 'Ca1 Sb1 Te2 Rh1'
_cell_length_a 5.675
_cell_length_b 5.675
_cell_length_c 5.669
_cell_angle_alpha 90.00
_cell_angle_beta 90.00
_cell_angle_gamma 90.00
_space_group_name_H-M_alt 'P 4/m m m'
_space_group_IT_number 123
_space_group_name_Hall '-P 4 2'
loop_
_atom_site_label
_atom_site_type_symbol
_atom_site_fract_x
_atom_site_fract_y
_atom_site_fract_z
Ca1 Ca 0.000 0.000 0.000
Sb1 Sb 0.000 0.000 0.500
Te1 Te 0.000 0.500 0.000
Rh1 Rh 0.500 0.500 0.500